The following is a GGA-PBE calculation of a relaxed RbLa2TaMo crystal, from Alexandria.

Cell: 5.782 5.782 5.034 Å, 90.00 90.00 90.00°
Positions (direct):
Rb1 0.000 0.000 0.000
La1 0.000 0.500 0.500
La2 0.500 0.000 0.500
Ta1 0.500 0.500 0.000
Mo1 0.500 0.500 0.500

E_tot (Ha/atom): -0.21594


The following is a GGA-PBE calculation of a relaxed RbLaTeMo2 crystal, from Alexandria.

Cell: 5.359 5.359 6.295 Å, 90.00 90.00 90.00°
Positions (direct):
Rb1 0.000 0.000 0.000
La1 0.500 0.500 0.500
Te1 0.500 0.500 0.000
Mo1 0.000 0.500 0.500
Mo2 0.500 0.000 0.500

E_tot (Ha/atom): -0.17359
Formation energy without anion corrections (eV/atom): 1.4163